Entry one
# Sm8DyTm2

A relaxed Sm8DyTm2 crystal (PBE-GGA, the Alexandria database).

Geometry as CIF:
```
data_Sm8DyTm2
_chemical_formula_sum 'Sm16 Dy2 Tm4'
_symmetry_space_group_name_H-M 'C 1 2/m 1'
_symmetry_Int_Tables_number 12
_symmetry_space_group_name_Hall '-C 2y'
_cell_length_a 16.702
_cell_length_b 6.722
_cell_length_c 6.664
_cell_angle_alpha 90.00
_cell_angle_beta 100.13
_cell_angle_gamma 90.00
loop_
_atom_site_label
_atom_site_fract_x
_atom_site_fract_y
_atom_site_fract_z
Sm1 0.088 0.238 0.405
Sm2 0.093 0.000 0.911
Sm3 0.245 0.500 0.318
Dy1 0.000 0.500 0.000
Tm1 0.199 0.500 0.805
```

Calculated values
The density comes out at 7.68 g/cm³. As for the volume: 736.5 Å³ per cell.

=====

Entry two
# Sm8DyTm2

A relaxed Sm8DyTm2 crystal (PBE-GGA, the Alexandria database).

Geometry as CIF:
```
data_Sm8DyTm2
_chemical_formula_sum 'Sm8 Dy1 Tm2'
_symmetry_space_group_name_H-M 'P -1'
_symmetry_Int_Tables_number 2
_symmetry_space_group_name_Hall '-P 1'
_cell_length_a 6.221
_cell_length_b 6.222
_cell_length_c 9.514
_cell_angle_alpha 90.05
_cell_angle_beta 96.33
_cell_angle_gamma 99.59
loop_
_atom_site_label
_atom_site_fract_x
_atom_site_fract_y
_atom_site_fract_z
Sm1 0.047 0.092 0.182
Sm2 0.136 0.274 0.545
Sm3 0.228 0.455 0.909
Sm4 0.410 0.819 0.636
Dy1 0.500 0.000 0.000
Tm1 0.318 0.637 0.272
```

Calculated values
The density comes out at 7.84 g/cm³. As for the volume: 360.8 Å³ per cell.

=====

The winner here is entry two, beating the second structure by 15.4 kJ/mol of atoms.

=====

Entry one
# Sm7DyTm2

A relaxed Sm7DyTm2 crystal (PBE-GGA, the Alexandria database).

Geometry as CIF:
```
data_Sm7DyTm2
_chemical_formula_sum 'Sm14 Dy2 Tm4'
_symmetry_space_group_name_H-M 'C m m m'
_symmetry_Int_Tables_number 65
_symmetry_space_group_name_Hall '-C 2 2'
_cell_length_a 8.797
_cell_length_b 16.385
_cell_length_c 5.607
_cell_angle_alpha 90.00
_cell_angle_beta 90.00
_cell_angle_gamma 90.00
loop_
_atom_site_label
_atom_site_fract_x
_atom_site_fract_y
_atom_site_fract_z
Sm1 0.000 0.000 0.000
Sm2 0.000 0.284 0.500
Sm3 0.178 0.387 0.000
Dy1 0.000 0.500 0.500
Tm1 0.000 0.205 0.000
```

Calculated values
The density comes out at 6.38 g/cm³. As for the volume: 808.2 Å³ per cell.

=====

Entry two
# Sm7DyTm2

A relaxed Sm7DyTm2 crystal (PBE-GGA, the Alexandria database).

Geometry as CIF:
```
data_Sm7DyTm2
_chemical_formula_sum 'Sm7 Dy1 Tm2'
_symmetry_space_group_name_H-M 'P -1'
_symmetry_Int_Tables_number 2
_symmetry_space_group_name_Hall '-P 1'
_cell_length_a 6.215
_cell_length_b 6.216
_cell_length_c 9.497
_cell_angle_alpha 102.56
_cell_angle_beta 109.06
_cell_angle_gamma 99.47
loop_
_atom_site_label
_atom_site_fract_x
_atom_site_fract_y
_atom_site_fract_z
Sm1 0.000 0.000 0.000
Sm2 0.198 0.000 0.399
Sm3 0.201 0.503 0.900
Sm4 0.402 0.501 0.301
Dy1 0.000 0.500 0.500
Tm1 0.400 0.999 0.800
```

Calculated values
The density comes out at 7.88 g/cm³. As for the volume: 327.3 Å³ per cell.

=====

The winner here is entry two, beating the second structure by 62.1 kJ/mol of atoms.

=====

Entry one
# SmDy4Tm6

A relaxed SmDy4Tm6 crystal (PBE-GGA, the Alexandria database).

Geometry as CIF:
```
data_SmDy4Tm6
_chemical_formula_sum 'Sm4 Dy16 Tm24'
_symmetry_space_group_name_H-M 'C m c m'
_symmetry_Int_Tables_number 63
_symmetry_space_group_name_Hall '-C 2c 2'
_cell_length_a 5.587
_cell_length_b 9.629
_cell_length_c 25.471
_cell_angle_alpha 90.00
_cell_angle_beta 90.00
_cell_angle_gamma 90.00
loop_
_atom_site_label
_atom_site_fract_x
_atom_site_fract_y
_atom_site_fract_z
Sm1 0.000 0.170 0.250
Dy1 0.000 0.165 0.542
Dy2 0.000 0.495 0.621
Tm1 0.000 0.162 0.681
Tm2 0.000 0.171 0.103
Tm3 0.000 0.496 0.750
Tm4 0.000 0.500 0.000
```

Calculated values
The density comes out at 8.79 g/cm³. As for the volume: 1370.1 Å³ per cell.

=====

Entry two
# SmDy4Tm6

A relaxed SmDy4Tm6 crystal (PBE-GGA, the Alexandria database).

Geometry as CIF:
```
data_SmDy4Tm6
_chemical_formula_sum 'Sm2 Dy8 Tm12'
_symmetry_space_group_name_H-M 'I -4 2 m'
_symmetry_Int_Tables_number 121
_symmetry_space_group_name_Hall 'I -4 2'
_cell_length_a 7.645
_cell_length_b 7.645
_cell_length_c 12.812
_cell_angle_alpha 90.00
_cell_angle_beta 90.00
_cell_angle_gamma 90.00
loop_
_atom_site_label
_atom_site_fract_x
_atom_site_fract_y
_atom_site_fract_z
Sm1 0.000 0.000 0.000
Dy1 0.168 0.168 0.425
Tm1 0.000 0.500 0.000
Tm2 0.249 0.249 0.684
```

Calculated values
The density comes out at 8.04 g/cm³. As for the volume: 748.8 Å³ per cell.

=====

The winner here is entry one, beating the second structure by 33.5 kJ/mol of atoms.